No. 1
4
Lattice="0.0000 4.5442 4.5442 4.5442 0.0000 4.5442 4.5442 4.5442 0.0000" Properties=species:S:1:pos:R:3 comment="Cs2CdGe GGA-PBE optimized geometry" energy_ry_per_atom=-0.1162 magmom_total_mub_per_cell=2.01 formation_enthalpy_0k_ev_per_atom=0.229 pbc="T T T"
Cs 2.2721 2.2721 2.2721
Cs 6.8163 6.8163 6.8163
Cd 0.0000 0.0000 0.0000
Ge 4.5442 4.5442 4.5442



No. 2
4
Lattice="1.5402 0.8892 9.1514 -1.5402 0.8892 9.1514 0.0000 -1.7784 9.1514" Properties=species:S:1:pos:R:3 comment="YTaTc2 GGA-PBE optimized geometry" energy_ry_per_atom=-0.6877 magmom_total_mub_per_cell=0.00 formation_enthalpy_0k_ev_per_atom=0.406 pbc="T T T"
Y 0.0000 0.0000 0.0000
Ta 0.0000 0.0000 6.4289
Tc 0.0000 0.0000 13.5562
Tc 0.0000 0.0000 20.8036